CdRhI2 PBE-GGA optimized geometry; Fermi-level density of states = 12.334 states/eV per cell; space group = No. 122; distance to the lowest polymorph of the same formula = 0.000 eV per atom; calculated total energy = -21.45 eV per cell
1.0
-3.295 3.295 6.217
3.295 -3.295 6.217
3.295 3.295 -6.217
Cd Rh I
2 2 4
direct
0.000 0.000 0.000
0.750 0.250 0.500
0.250 0.750 0.500
0.500 0.500 0.000
0.173 0.625 0.048
0.375 0.423 0.548
0.577 0.125 0.952
0.875 0.827 0.452

***

FeTc2Au PBE-GGA optimized geometry; Fermi-level density of states = 5.817 states/eV per cell; space group = No. 216; distance to the lowest polymorph of the same formula = 0.245 eV per atom; calculated total energy = -30.71 eV per cell; energy of formation = 0.4395 eV/atom
1.0
0.000 3.107 3.107
3.107 0.000 3.107
3.107 3.107 0.000
Fe Tc Au
1 2 1
direct
0.000 0.000 0.000
0.250 0.250 0.250
0.500 0.500 0.500
0.750 0.750 0.750

***

LiTl5Hg4 PBE-GGA optimized geometry; Fermi-level density of states = 3.578 states/eV per cell; space group = No. 123; distance to the lowest polymorph of the same formula = 0.012 eV per atom; calculated total energy = -15.33 eV per cell; energy of formation = -0.0377 eV/atom
1.0
3.890 0.000 0.000
0.000 3.890 0.000
0.000 0.000 18.131
Li Tl Hg
1 5 4
direct
0.000 0.000 0.000
0.500 0.500 0.090
0.500 0.500 0.290
0.500 0.500 0.500
0.500 0.500 0.710
0.500 0.500 0.910
0.000 0.000 0.183
0.000 0.000 0.394
0.000 0.000 0.606
0.000 0.000 0.817